Entry 1:
## PrLuInIr (PBE)

Data for a geometry-optimized PrLuInIr structure.

CIF file:
```
data_PrLuInIr
_space_group_name_H-M_alt 'F -4 3 m'
_space_group_IT_number 216
_space_group_name_Hall 'F -4 2 3'
_cell_length_a 7.2627
_cell_length_b 7.2627
_cell_length_c 7.2627
_cell_angle_alpha 90.00
_cell_angle_beta 90.00
_cell_angle_gamma 90.00
loop_
_atom_site_label
_atom_site_fract_x
_atom_site_fract_y
_atom_site_fract_z
Pr1 0.0000 0.0000 0.0000
Lu1 0.0000 0.0000 0.5000
In1 0.2500 0.2500 0.2500
Ir1 0.2500 0.2500 0.7500
```

=====

Entry 2:
## LuInIrPt (PBE)

Data for a geometry-optimized LuInIrPt structure.

CIF file:
```
data_LuInIrPt
_space_group_name_H-M_alt 'F -4 3 m'
_space_group_IT_number 216
_space_group_name_Hall 'F -4 2 3'
_cell_length_a 6.6599
_cell_length_b 6.6599
_cell_length_c 6.6599
_cell_angle_alpha 90.00
_cell_angle_beta 90.00
_cell_angle_gamma 90.00
loop_
_atom_site_label
_atom_site_fract_x
_atom_site_fract_y
_atom_site_fract_z
Lu1 0.0000 0.0000 0.0000
In1 0.0000 0.0000 0.5000
Ir1 0.2500 0.2500 0.2500
Pt1 0.2500 0.2500 0.7500
```

=====

no.,calculated density (g/cm3),calculated formation energy (eV per atom),V (Å³/atom)
1,10.80,-0.46,23.94
2,15.22,-0.73,18.46